Here is crystalline AlTcNi at its relaxed geometry from Alexandria. Energies are from PBE.

Summary:
VASP energy = -6.5925 eV per atom
excess energy over the best structure of this formula in the dataset = 303 meV/atom
magnetic moment = 0.6605 μB per atom
calculated formation energy = 0.04 eV per atom

a = 4.005 Å, b = 4.005 Å, c = 4.005 Å
α = 60.00°, β = 60.00°, γ = 60.00°
Site moments in Bohr magnetons follow the coordinates.
Fractional positions:
1 Ni 0.750 0.750 0.750  0.58
2 Tc 0.000 0.000 0.000  1.40
3 Al 0.500 0.500 0.500  -0.04